LiAcYGe: relaxed, GGA-PBE.

Results
- Energy relative to the elements: -0.3276 eV/atom
- Spin magnetization: 0.00 Bohr magnetons per cell
- Calculated total energy: -4.603 eV per atom
- SG: F-43m (216)

Lattice parameters (Å, degrees): 5.3178 5.3178 5.3178 60.00 60.00 60.00
With the nearest neighbours (Å) after each atom.
Positions (direct):
Li1 0.0000 0.0000 0.0000  4 Ac 3.26, 4 Y 3.26
Ac1 0.2500 0.2500 0.2500  4 Ge 3.26, 4 Li 3.26
Y1 0.7500 0.7500 0.7500  4 Ge 3.26, 4 Li 3.26
Ge1 0.5000 0.5000 0.5000  4 Ac 3.26, 4 Y 3.26


Li2AcYGe2: relaxed, GGA-PBE.

Results
- Energy relative to the elements: -0.6654 eV/atom
- Spin magnetization: 0.00 Bohr magnetons per cell
- Calculated total energy: -4.604 eV per atom
- SG: P-3m1 (164)

Lattice parameters (Å, degrees): 4.5377 4.5377 7.7192 90.00 90.00 120.00
With the nearest neighbours (Å) after each atom.
Positions (direct):
Li1 0.3333 0.6667 0.1921  3 Ge 2.63
Li2 0.6667 0.3333 0.8079  3 Ge 2.63
Ac1 0.0000 0.0000 0.5000  6 Ge 3.38, 6 Li 3.54
Y1 0.0000 0.0000 0.0000  6 Li 3.01, 6 Ge 3.13
Ge1 0.3333 0.6667 0.7777  3 Li 2.63
Ge2 0.6667 0.3333 0.2223  3 Li 2.63


LiAcZn2Ge2: relaxed, GGA-PBE.

Results
- Energy relative to the elements: -0.4845 eV/atom
- Spin magnetization: 0.00 Bohr magnetons per cell
- Calculated total energy: -3.452 eV per atom
- SG: P-3m1 (164)

Lattice parameters (Å, degrees): 4.3698 4.3698 7.4104 90.00 90.00 120.00
With the nearest neighbours (Å) after each atom.
Positions (direct):
Li1 0.0000 0.0000 0.0000  6 Zn 2.79, 6 Ge 3.03
Ac1 0.0000 0.0000 0.5000  6 Ge 3.24, 6 Zn 3.57
Zn1 0.3333 0.6667 0.1599  4 Ge 2.57-2.86, 3 Li 2.79
Zn2 0.6667 0.3333 0.8401  4 Ge 2.57-2.86, 3 Li 2.79
Ge1 0.3333 0.6667 0.7738  4 Zn 2.57-2.86
Ge2 0.6667 0.3333 0.2262  4 Zn 2.57-2.86


Li2AcZn2Ge2: relaxed, GGA-PBE.

Results
- Energy relative to the elements: -0.4971 eV/atom
- Spin magnetization: 0.00 Bohr magnetons per cell
- Calculated total energy: -3.314 eV per atom
- SG: R-3m (166)

Lattice parameters (Å, degrees): 8.6994 8.6994 8.6994 28.90 28.90 28.90
With the nearest neighbours (Å) after each atom.
Positions (direct):
Li1 0.1438 0.1438 0.1438  3 Zn 2.67, 4 Ge 2.67-2.94, 3 Li 2.76
Li2 0.8562 0.8562 0.8562  3 Zn 2.67, 4 Ge 2.67-2.94, 3 Li 2.76
Ac1 0.0000 0.0000 0.0000  6 Ge 3.25, 2 Li 3.59
Zn1 0.4405 0.4405 0.4405  3 Ge 2.58, 3 Li 2.67
Zn2 0.5595 0.5595 0.5595  3 Ge 2.58, 3 Li 2.67
Ge1 0.2508 0.2508 0.2508  3 Zn 2.58, 1 Li 2.67
Ge2 0.7492 0.7492 0.7492  3 Zn 2.58, 1 Li 2.67


LiAcZnGe2: relaxed, GGA-PBE.

Results
- Energy relative to the elements: -0.5466 eV/atom
- Spin magnetization: 0.00 Bohr magnetons per cell
- Calculated total energy: -3.853 eV per atom
- SG: I-4m2 (119)

Lattice parameters (Å, degrees): 6.2334 6.2334 6.2334 138.41 138.41 60.27
With the nearest neighbours (Å) after each atom.
Positions (direct):
Li1 0.0000 0.0000 0.0000  4 Ge 2.62
Ac1 0.2500 0.7500 0.5000  8 Ge 3.38, 4 Li 3.49, 4 Zn 3.49
Zn1 0.5000 0.5000 0.0000  4 Ge 2.62
Ge1 0.6306 0.1306 0.5000  1 Ge 2.57, 2 Li 2.62, 2 Zn 2.62
Ge2 0.8694 0.3694 0.5000  1 Ge 2.57, 2 Li 2.62, 2 Zn 2.62


Ac2LuGe: relaxed, GGA-PBE.

Results
- Energy relative to the elements: -0.1617 eV/atom
- Spin magnetization: 0.00 Bohr magnetons per cell
- Calculated total energy: -4.501 eV per atom
- SG: P4/mmm (123)

Lattice parameters (Å, degrees): 5.1927 5.1927 4.7364 90.00 90.00 90.00
With the nearest neighbours (Å) after each atom.
Positions (direct):
Ac1 0.0000 0.5000 0.0000  4 Ge 3.51, 4 Lu 3.51, 4 Ac 3.67
Ac2 0.5000 0.0000 0.0000  4 Ge 3.51, 4 Lu 3.51, 4 Ac 3.67
Lu1 0.0000 0.0000 0.5000  8 Ac 3.51, 4 Ge 3.67
Ge1 0.5000 0.5000 0.5000  8 Ac 3.51, 4 Lu 3.67


AcLuGe2: relaxed, GGA-PBE.

Results
- Energy relative to the elements: -0.4657 eV/atom
- Spin magnetization: 0.00 Bohr magnetons per cell
- Calculated total energy: -4.932 eV per atom
- SG: P4/mmm (123)

Lattice parameters (Å, degrees): 5.0019 5.0019 4.1419 90.00 90.00 90.00
With the nearest neighbours (Å) after each atom.
Positions (direct):
Ac1 0.0000 0.0000 0.0000  8 Ge 3.25, 4 Lu 3.54
Lu1 0.5000 0.5000 0.0000  8 Ge 3.25, 4 Ac 3.54
Ge1 0.0000 0.5000 0.5000  4 Ac 3.25, 4 Lu 3.25, 4 Ge 3.54
Ge2 0.5000 0.0000 0.5000  4 Ac 3.25, 4 Lu 3.25, 4 Ge 3.54


Ac2LuGe: relaxed, GGA-PBE.

Results
- Energy relative to the elements: 0.1376 eV/atom
- Spin magnetization: 0.00 Bohr magnetons per cell
- Calculated total energy: -4.201 eV per atom
- SG: R-3m (166)

Lattice parameters (Å, degrees): 11.8743 11.8743 11.8743 18.68 18.68 18.68
With the nearest neighbours (Å) after each atom.
Positions (direct):
Ac1 0.1035 0.1035 0.1035  3 Ge 3.14
Ac2 0.8965 0.8965 0.8965  3 Ge 3.14
Lu1 0.0000 0.0000 0.0000  2 Ac 3.62, 6 Lu 3.85
Ge1 0.5000 0.5000 0.5000  6 Ac 3.14